A geometry-optimized NaTiBr2O structure, computed with PBE.

Values from the calculation:
Its density of states at the Fermi level is 13.89 states/eV per cell. The calculation puts the calculated volume at 23.210 A^3/atom. As for the calculated density: 3.53 Mg/m³. The calculation puts the uncorrected formation energy at -0.02 eV/atom.

Cell: 5.2691 5.2691 4.1799 Å, 90.00 90.00 90.00°
With the nearest neighbours (Å) after each atom.
Atoms (fractional coordinates):
1 Na 0.0000 0.0000 0.0000  2 O 2.09
2 Ti 0.5000 0.5000 0.5000  8 Br 3.36, 4 O 3.73
3 Br 0.0000 0.5000 0.0000  2 Na 2.63
4 Br 0.5000 0.0000 0.0000  2 Na 2.63
5 O 0.0000 0.0000 0.5000  2 Na 2.09

A geometry-optimized MgOsBr3 structure, computed with PBE.

Values from the calculation:
Its density of states at the Fermi level is 4.16 states/eV per cell. The calculation puts the calculated volume at 26.389 A^3/atom. As for the calculated density: 5.72 Mg/m³. The calculation puts the uncorrected formation energy at 0.35 eV/atom. The value obtained for the distance to the lowest polymorph of the same formula is 0.0 meV per atom.

Cell: 5.0909 5.0909 5.0909 Å, 90.00 90.00 90.00°
With the nearest neighbours (Å) after each atom.
Atoms (fractional coordinates):
1 Mg 0.0000 0.0000 0.0000  12 Br 3.60
2 Os 0.5000 0.5000 0.5000  6 Br 2.55
3 Br 0.0000 0.5000 0.5000  2 Os 2.55
4 Br 0.5000 0.0000 0.5000  2 Os 2.55
5 Br 0.5000 0.5000 0.0000  2 Os 2.55

A geometry-optimized PmAl3Ag structure, computed with PBE.

Values from the calculation:
Its density of states at the Fermi level is 2.87 states/eV per cell. The calculation puts the calculated volume at 20.420 A^3/atom. As for the calculated density: 5.43 Mg/m³. The value obtained for the formation energy is -0.403 eV/atom. The value obtained for the distance to the lowest polymorph of the same formula is 0.0 meV per atom.

Cell: 6.3309 6.3309 6.0218 Å, 90.00 90.00 122.21°
With the nearest neighbours (Å) after each atom.
Atoms (fractional coordinates):
1 Pm 0.2491 0.7509 0.7500  12 Al 3.21-3.54, 4 Ag 3.32-3.37
2 Pm 0.7509 0.2491 0.2500  12 Al 3.21-3.54, 4 Ag 3.32-3.37
3 Al 0.2668 0.2668 0.0000  2 Ag 2.61, 3 Al 2.67-2.85
4 Al 0.2668 0.2668 0.5000  2 Ag 2.61, 3 Al 2.67-2.85
5 Al 0.3488 0.6512 0.2500  1 Ag 2.50, 4 Al 2.67
6 Al 0.6512 0.3488 0.7500  1 Ag 2.50, 4 Al 2.67
7 Al 0.7332 0.7332 0.0000  2 Ag 2.61, 3 Al 2.67-2.85
8 Al 0.7332 0.7332 0.5000  2 Ag 2.61, 3 Al 2.67-2.85
9 Ag 0.1231 0.8769 0.2500  5 Al 2.50-2.61
10 Ag 0.8769 0.1231 0.7500  5 Al 2.50-2.61

A geometry-optimized LaRh4Pb4 structure, computed with PBE.

Values from the calculation:
Its density of states at the Fermi level is 15.78 states/eV per cell. The calculation puts the calculated volume at 24.061 A^3/atom. As for the calculated density: 10.58 Mg/m³. The value obtained for the formation energy is -0.123 eV/atom.

Cell: 8.9063 8.9063 5.4600 Å, 90.00 90.00 90.00°
With the nearest neighbours (Å) after each atom.
Atoms (fractional coordinates):
1 La 0.2500 0.2500 0.2500  4 Rh 2.82
2 La 0.7500 0.7500 0.7500  4 Rh 2.82
3 Rh 0.0334 0.6181 0.6659  5 Pb 2.77-2.85, 1 La 2.82, 1 Rh 2.84
4 Rh 0.1181 0.9666 0.1659  5 Pb 2.77-2.85, 1 La 2.82, 1 Rh 2.84
5 Rh 0.3819 0.5334 0.1659  5 Pb 2.77-2.85, 1 La 2.82, 1 Rh 2.84
6 Rh 0.4666 0.8819 0.6659  5 Pb 2.77-2.85, 1 La 2.82, 1 Rh 2.84
7 Rh 0.5334 0.1181 0.3341  5 Pb 2.77-2.85, 1 La 2.82, 1 Rh 2.84
8 Rh 0.6181 0.4666 0.8341  5 Pb 2.77-2.85, 1 La 2.82, 1 Rh 2.84
9 Rh 0.8819 0.0334 0.8341  5 Pb 2.77-2.85, 1 La 2.82, 1 Rh 2.84
10 Rh 0.9666 0.3819 0.3341  5 Pb 2.77-2.85, 1 La 2.82, 1 Rh 2.84
11 Pb 0.0846 0.6509 0.1655  5 Rh 2.77-2.85
12 Pb 0.1509 0.9154 0.6655  5 Rh 2.77-2.85
13 Pb 0.3491 0.5846 0.6655  5 Rh 2.77-2.85
14 Pb 0.4154 0.8491 0.1655  5 Rh 2.77-2.85
15 Pb 0.5846 0.1509 0.8345  5 Rh 2.77-2.85
16 Pb 0.6509 0.4154 0.3345  5 Rh 2.77-2.85
17 Pb 0.8491 0.0846 0.3345  5 Rh 2.77-2.85
18 Pb 0.9154 0.3491 0.8345  5 Rh 2.77-2.85

A geometry-optimized CdS2O structure, computed with PBE.

Values from the calculation:
Its density of states at the Fermi level is 1.19 states/eV per cell. The calculation puts the calculated volume at 19.349 A^3/atom. As for the calculated density: 4.13 Mg/m³. The calculation puts the uncorrected formation energy at 0.18 eV/atom. The value obtained for the distance to the lowest polymorph of the same formula is 146.2 meV per atom.

Cell: 5.1724 5.1724 11.5715 Å, 90.00 90.00 90.00°
With the nearest neighbours (Å) after each atom.
Atoms (fractional coordinates):
1 Cd 0.0000 0.0000 0.0000  4 S 2.70
2 Cd 0.0000 0.5000 0.2500  4 S 2.70
3 Cd 0.5000 0.0000 0.7500  4 S 2.70
4 Cd 0.5000 0.5000 0.5000  4 S 2.70
5 S 0.1368 0.2500 0.6250  2 O 2.07
6 S 0.2500 0.6368 0.8750  2 O 2.07
7 S 0.2500 0.8632 0.3750  2 O 2.07
8 S 0.3632 0.2500 0.1250  2 O 2.07
9 S 0.6368 0.7500 0.1250  2 O 2.07
10 S 0.7500 0.1368 0.3750  2 O 2.07
11 S 0.7500 0.3632 0.8750  2 O 2.07
12 S 0.8632 0.7500 0.6250  2 O 2.07
13 O 0.0000 0.0000 0.5000  4 S 2.07
14 O 0.0000 0.5000 0.7500  4 S 2.07
15 O 0.5000 0.0000 0.2500  4 S 2.07
16 O 0.5000 0.5000 0.0000  4 S 2.07